(1)
The following is a DFT calculation (PBE-GGA) of AcPu2Sn2Hg2 after structural relaxation.

Lattice parameters (Å, degrees): 9.5511 9.5511 9.5511 30.56 30.56 30.56
Atoms (fractional coordinates):
Ac  0.0000  0.0000  0.0000
Pu  0.1445  0.1445  0.1445
Pu  0.8555  0.8555  0.8555
Sn  0.2632  0.2632  0.2632
Sn  0.7368  0.7368  0.7368
Hg  0.4349  0.4349  0.4349
Hg  0.5651  0.5651  0.5651

Summary:
Crystal system: trigonal
Energy relative to the elements: -0.279 eV/atom
Space group: R-3m (166)
DFT total energy: -43.3 eV/f.u.

(2)
The following is a DFT calculation (PBE-GGA) of AcPuHgTe after structural relaxation.

Lattice parameters (Å, degrees): 5.5786 5.5786 5.5786 60.00 60.00 60.00
Atoms (fractional coordinates):
Ac  0.0000  0.0000  0.0000
Pu  0.5000  0.5000  0.5000
Hg  0.2500  0.2500  0.2500
Te  0.7500  0.7500  0.7500

Summary:
Formation energy from raw total energies: -550.3 meV per atom
Crystal system: cubic
Space group: F-43m (216)
DFT total energy: -24.1 eV/f.u.

(3)
The following is a DFT calculation (PBE-GGA) of Ac2PuHgTe5 after structural relaxation.

Lattice parameters (Å, degrees): 10.0794 10.0794 13.6954 90.00 90.00 153.69
Atoms (fractional coordinates):
Ac  0.1199  0.8801  0.5000
Ac  0.1274  0.8726  0.1239
Ac  0.8726  0.1274  0.6239
Ac  0.8801  0.1199  0.0000
Pu  0.1941  0.8059  0.8214
Pu  0.8059  0.1941  0.3214
Hg  0.4383  0.5617  0.2768
Hg  0.5617  0.4383  0.7768
Te  0.0410  0.9590  0.8952
Te  0.2931  0.7069  0.4798
Te  0.3041  0.6959  0.1577
Te  0.3568  0.6432  0.8148
Te  0.4994  0.5006  0.0887
Te  0.5006  0.4994  0.5887
Te  0.6432  0.3568  0.3148
Te  0.6959  0.3041  0.6577
Te  0.7069  0.2931  0.9798
Te  0.9590  0.0410  0.3952

Summary:
Formation energy from raw total energies: -1145.3 meV per atom
Crystal system: orthorhombic
Space group: Cmc2_1 (36)
DFT total energy: -48.9 eV/f.u.

(4)
The following is a DFT calculation (PBE-GGA) of RbAcHg4 after structural relaxation.

Lattice parameters (Å, degrees): 6.3680 6.3680 6.3680 60.00 60.00 60.00
Atoms (fractional coordinates):
Rb  0.0000  0.0000  0.0000
Ac  0.7500  0.7500  0.7500
Hg  0.3752  0.3752  0.3752
Hg  0.3752  0.3752  0.8745
Hg  0.3752  0.8745  0.3752
Hg  0.8745  0.3752  0.3752

Summary:
Distance to the lowest polymorph of the same formula: 147 meV/atom
Crystal system: cubic
Energy relative to the elements: -0.156 eV/atom
Space group: F-43m (216)
DFT total energy: -7.2 eV/f.u.

(5)
The following is a DFT calculation (PBE-GGA) of RbAcHg6 after structural relaxation.

Lattice parameters (Å, degrees): 5.4439 7.3382 6.0932 90.00 90.00 90.00
Atoms (fractional coordinates):
Rb  0.0000  0.0000  0.0000
Ac  0.5000  0.5000  0.2890
Hg  0.0000  0.2643  0.4869
Hg  0.0000  0.5000  0.9523
Hg  0.0000  0.7357  0.4869
Hg  0.5000  0.0000  0.4084
Hg  0.5000  0.2736  0.8038
Hg  0.5000  0.7264  0.8038

Summary:
Crystal system: orthorhombic
Energy relative to the elements: -0.275 eV/atom
Space group: Pmm2 (25)
DFT total energy: -9.1 eV/f.u.

(6)
The following is a DFT calculation (PBE-GGA) of RbAcHg14 after structural relaxation.

Lattice parameters (Å, degrees): 11.2618 11.2618 11.2618 126.40 112.06 91.78
Atoms (fractional coordinates):
Rb  0.4546  0.2046  0.2500
Rb  0.5454  0.7954  0.7500
Ac  0.0000  0.0000  0.5000
Ac  0.0000  0.5000  0.0000
Hg  0.0016  0.3728  0.6288
Hg  0.0436  0.1583  0.8853
Hg  0.1349  0.1835  0.3159
Hg  0.1349  0.8190  0.9513
Hg  0.1702  0.4162  0.2750
Hg  0.1702  0.8952  0.7540
Hg  0.1956  0.5682  0.6274
Hg  0.2270  0.8417  0.3853
Hg  0.2440  0.3728  0.8712
Hg  0.3589  0.1048  0.7750
Hg  0.3589  0.5838  0.2540
Hg  0.3677  0.1835  0.5487
Hg  0.3677  0.8190  0.1841
Hg  0.4409  0.5682  0.8726
Hg  0.5591  0.4318  0.1274
Hg  0.6323  0.1810  0.8159
Hg  0.6323  0.8165  0.4513
Hg  0.6411  0.4162  0.7460
Hg  0.6411  0.8952  0.2250
Hg  0.7560  0.6272  0.1288
Hg  0.7730  0.1583  0.6147
Hg  0.8044  0.4318  0.3726
Hg  0.8298  0.1048  0.2460
Hg  0.8298  0.5838  0.7250
Hg  0.8651  0.1810  0.0487
Hg  0.8651  0.8165  0.6841
Hg  0.9564  0.8417  0.1147
Hg  0.9984  0.6272  0.3712

Summary:
Crystal system: orthorhombic
Energy relative to the elements: -0.135 eV/atom
Space group: Imma (74)
DFT total energy: -11.5 eV/f.u.

(7)
The following is a DFT calculation (PBE-GGA) of RbAcHg3 after structural relaxation.

Lattice parameters (Å, degrees): 6.3689 6.3689 6.3689 90.00 90.00 90.00
Atoms (fractional coordinates):
Rb  0.0000  0.0000  0.0000
Ac  0.5000  0.5000  0.5000
Hg  0.0000  0.5000  0.5000
Hg  0.5000  0.0000  0.5000
Hg  0.5000  0.5000  0.0000

Summary:
Crystal system: cubic
Energy relative to the elements: 0.012 eV/atom
Space group: Pm-3m (221)
DFT total energy: -5.9 eV/f.u.

(8)
The following is a DFT calculation (PBE-GGA) of RbAc4Hg5 after structural relaxation.

Lattice parameters (Å, degrees): 4.0675 4.0675 21.0428 90.00 90.00 90.00
Atoms (fractional coordinates):
Rb  0.0000  0.0000  0.0000
Ac  0.0000  0.0000  0.2117
Ac  0.0000  0.0000  0.4036
Ac  0.0000  0.0000  0.5964
Ac  0.0000  0.0000  0.7883
Hg  0.5000  0.5000  0.1242
Hg  0.5000  0.5000  0.3085
Hg  0.5000  0.5000  0.5000
Hg  0.5000  0.5000  0.6915
Hg  0.5000  0.5000  0.8758

Summary:
Crystal system: tetragonal
Energy relative to the elements: -0.412 eV/atom
Space group: P4/mmm (123)
DFT total energy: -23.0 eV/f.u.

(9)
The following is a DFT calculation (PBE-GGA) of Rb2AcHg after structural relaxation.

Lattice parameters (Å, degrees): 14.1193 14.1193 14.1193 16.57 16.57 16.57
Atoms (fractional coordinates):
Rb  0.0973  0.0973  0.0973
Rb  0.9027  0.9027  0.9027
Ac  0.0000  0.0000  0.0000
Hg  0.5000  0.5000  0.5000

Summary:
Crystal system: trigonal
Energy relative to the elements: 0.179 eV/atom
Space group: R-3m (166)
DFT total energy: -5.6 eV/f.u.

(10)
The following is a DFT calculation (PBE-GGA) of Rb2AcHg10 after structural relaxation.

Lattice parameters (Å, degrees): 9.0375 10.9601 8.5607 90.00 101.56 90.00
Atoms (fractional coordinates):
Rb  0.0340  0.2099  0.4841
Rb  0.0340  0.2901  0.9841
Rb  0.9660  0.7099  0.0159
Rb  0.9660  0.7901  0.5159
Ac  0.5000  0.0000  0.0000
Ac  0.5000  0.5000  0.5000
Hg  0.1316  0.5026  0.3391
Hg  0.1316  0.9974  0.8391
Hg  0.2071  0.5040  0.7151
Hg  0.2071  0.9960  0.2151
Hg  0.3229  0.7366  0.8838
Hg  0.3229  0.7634  0.3838
Hg  0.3628  0.0009  0.5921
Hg  0.3628  0.4991  0.0921
Hg  0.3968  0.2324  0.2846
Hg  0.3968  0.2676  0.7846
Hg  0.6032  0.7324  0.2154
Hg  0.6032  0.7676  0.7154
Hg  0.6372  0.5009  0.9079
Hg  0.6372  0.9991  0.4079
Hg  0.6771  0.2366  0.6162
Hg  0.6771  0.2634  0.1162
Hg  0.7929  0.0040  0.7849
Hg  0.7929  0.4960  0.2849
Hg  0.8684  0.0026  0.1609
Hg  0.8684  0.4974  0.6609

Summary:
Crystal system: monoclinic
Energy relative to the elements: -0.235 eV/atom
Space group: P2_1/c (14)
DFT total energy: -12.1 eV/f.u.

(11)
The following is a DFT calculation (PBE-GGA) of RbAc2Hg3 after structural relaxation.

Lattice parameters (Å, degrees): 4.0942 4.0942 12.8775 90.00 90.00 90.00
Atoms (fractional coordinates):
Rb  0.0000  0.0000  0.0000
Ac  0.0000  0.0000  0.3439
Ac  0.0000  0.0000  0.6561
Hg  0.5000  0.5000  0.2026
Hg  0.5000  0.5000  0.5000
Hg  0.5000  0.5000  0.7974

Summary:
Crystal system: tetragonal
Energy relative to the elements: -0.378 eV/atom
Space group: P4/mmm (123)
DFT total energy: -12.4 eV/f.u.

(12)
The following is a DFT calculation (PBE-GGA) of RbAcHg4 after structural relaxation.

Lattice parameters (Å, degrees): 3.8181 5.3311 9.2329 90.00 90.00 90.00
Atoms (fractional coordinates):
Rb  0.0000  0.0000  0.0000
Ac  0.0000  0.5000  0.5000
Hg  0.5000  0.0000  0.3388
Hg  0.5000  0.0000  0.6612
Hg  0.5000  0.5000  0.1692
Hg  0.5000  0.5000  0.8308

Summary:
Distance to the lowest polymorph of the same formula: 0 meV/atom
Crystal system: orthorhombic
Energy relative to the elements: -0.302 eV/atom
Space group: Pmmm (47)
DFT total energy: -8.1 eV/f.u.

(13)
The following is a DFT calculation (PBE-GGA) of RbAc2HgS4 after structural relaxation.

Lattice parameters (Å, degrees): 7.6442 7.6442 15.2400 90.00 90.00 145.53
Atoms (fractional coordinates):
Rb  0.1194  0.8806  0.7500
Rb  0.8806  0.1194  0.2500
Ac  0.3701  0.6299  0.5634
Ac  0.3701  0.6299  0.9366
Ac  0.6299  0.3701  0.0634
Ac  0.6299  0.3701  0.4366
Hg  0.1503  0.8497  0.2500
Hg  0.8497  0.1503  0.7500
S  0.0000  0.0000  0.0000
S  0.0000  0.0000  0.5000
S  0.2613  0.7387  0.1013
S  0.2613  0.7387  0.3987
S  0.4464  0.5536  0.7500
S  0.5536  0.4464  0.2500
S  0.7387  0.2613  0.6013
S  0.7387  0.2613  0.8987

Summary:
Formation energy from raw total energies: -1490.1 meV per atom
Crystal system: orthorhombic
Space group: Cmcm (63)
DFT total energy: -37.9 eV/f.u.

(14)
The following is a DFT calculation (PBE-GGA) of Rb2AcHg2S4 after structural relaxation.

Lattice parameters (Å, degrees): 8.5820 8.5820 8.3861 111.89 111.89 28.88
Atoms (fractional coordinates):
Rb  0.1273  0.1273  0.0615
Rb  0.8727  0.8727  0.9385
Ac  0.0000  0.0000  0.5000
Hg  0.3096  0.3096  0.4778
Hg  0.6904  0.6904  0.5222
S  0.1930  0.1930  0.7217
S  0.4694  0.4694  0.7218
S  0.5306  0.5306  0.2782
S  0.8070  0.8070  0.2783

Summary:
Formation energy from raw total energies: -1001.1 meV per atom
Crystal system: monoclinic
Space group: C2/m (12)
DFT total energy: -32.2 eV/f.u.

(15)
The following is a DFT calculation (PBE-GGA) of Rb2AcHgSb2 after structural relaxation.

Lattice parameters (Å, degrees): 4.8982 10.2377 9.0426 90.00 90.00 90.00
Atoms (fractional coordinates):
Rb  0.0000  0.0842  0.0000
Rb  0.0000  0.9158  0.5000
Rb  0.5000  0.1619  0.3270
Rb  0.5000  0.8381  0.8270
Ac  0.5000  0.4725  0.9468
Ac  0.5000  0.5275  0.4468
Hg  0.0000  0.3159  0.5958
Hg  0.0000  0.6841  0.0958
Sb  0.0000  0.4045  0.2061
Sb  0.0000  0.5955  0.7061
Sb  0.5000  0.1981  0.7291
Sb  0.5000  0.8019  0.2291

Summary:
Formation energy from raw total energies: -548.3 meV per atom
Crystal system: orthorhombic
Space group: Pmc2_1 (26)
DFT total energy: -17.9 eV/f.u.

(16)
The following is a DFT calculation (PBE-GGA) of Rb2AcHg2Se4 after structural relaxation.

Lattice parameters (Å, degrees): 8.6538 8.6538 8.2877 108.44 108.44 31.97
Atoms (fractional coordinates):
Rb  0.1327  0.1327  0.0720
Rb  0.8673  0.8673  0.9280
Ac  0.0000  0.0000  0.5000
Hg  0.3280  0.3280  0.4888
Hg  0.6720  0.6720  0.5112
Se  0.2019  0.2019  0.6893
Se  0.4868  0.4868  0.7419
Se  0.5132  0.5132  0.2581
Se  0.7981  0.7981  0.3107

Summary:
Formation energy from raw total energies: -1001.6 meV per atom
Crystal system: monoclinic
Space group: C2/m (12)
DFT total energy: -29.6 eV/f.u.

(17)
The following is a DFT calculation (PBE-GGA) of RbAcHgSe3 after structural relaxation.

Lattice parameters (Å, degrees): 9.4888 4.5437 10.5784 90.00 104.53 90.00
Atoms (fractional coordinates):
Rb  0.2065  0.2500  0.2371
Rb  0.7935  0.7500  0.7629
Ac  0.3272  0.7500  0.8536
Ac  0.6728  0.2500  0.1464
Hg  0.0891  0.2500  0.6140
Hg  0.9109  0.7500  0.3860
Se  0.0998  0.2500  0.8659
Se  0.2089  0.7500  0.5323
Se  0.4530  0.7500  0.1517
Se  0.5470  0.2500  0.8483
Se  0.7911  0.2500  0.4677
Se  0.9002  0.7500  0.1341

Summary:
Formation energy from raw total energies: -1243.5 meV per atom
Crystal system: monoclinic
Space group: P2_1/m (11)
DFT total energy: -23.3 eV/f.u.

(18)
The following is a DFT calculation (PBE-GGA) of RbAcSnHg after structural relaxation.

Lattice parameters (Å, degrees): 5.8712 5.8712 5.8712 60.00 60.00 60.00
Atoms (fractional coordinates):
Rb  0.0000  0.0000  0.0000
Ac  0.5000  0.5000  0.5000
Sn  0.7500  0.7500  0.7500
Hg  0.2500  0.2500  0.2500

Summary:
Crystal system: cubic
Energy relative to the elements: -0.317 eV/atom
Space group: F-43m (216)
DFT total energy: -10.6 eV/f.u.

(19)
The following is a DFT calculation (PBE-GGA) of RbAcTlHg after structural relaxation.

Lattice parameters (Å, degrees): 5.8879 5.8879 5.8879 60.00 60.00 60.00
Atoms (fractional coordinates):
Rb  0.0000  0.0000  0.0000
Ac  0.5000  0.5000  0.5000
Tl  0.7500  0.7500  0.7500
Hg  0.2500  0.2500  0.2500

Summary:
Crystal system: cubic
Energy relative to the elements: -0.158 eV/atom
Space group: F-43m (216)
DFT total energy: -8.4 eV/f.u.

(20)
The following is a DFT calculation (PBE-GGA) of AcHgRh2 after structural relaxation.

Lattice parameters (Å, degrees): 4.6207 4.6207 3.8756 90.00 90.00 90.00
Atoms (fractional coordinates):
Ac  0.0000  0.0000  0.0000
Hg  0.5000  0.5000  0.0000
Rh  0.0000  0.5000  0.5000
Rh  0.5000  0.0000  0.5000

Summary:
Crystal system: tetragonal
Energy relative to the elements: -0.361 eV/atom
Space group: P4/mmm (123)
DFT total energy: -20.6 eV/f.u.